Record 1
# GGA-PBE Li3CeTe3, optimized geometry
data_Li3CeTe3
_space_group_name_H-M_alt 'R -3'
_space_group_IT_number 148
_space_group_name_Hall '-R 3'
_cell_length_a 8.0121
_cell_length_b 8.0121
_cell_length_c 22.1981
_cell_angle_alpha 90.00
_cell_angle_beta 90.00
_cell_angle_gamma 120.00
loop_
_atom_site_label
_atom_site_fract_x
_atom_site_fract_y
_atom_site_fract_z
_atom_site_occupancy
Li1 0.0054 0.6875 0.1221 1
Ce1 0.0000 0.0000 0.3340 1
Te1 0.0029 0.6504 0.9166 1
# Formation energy from raw total energies: -768 kJ/mol of formula units
# Volume: 1234 Å³/cell

---

Record 2
# GGA-PBE LaMnW2, optimized geometry
data_LaMnW2
_space_group_name_H-M_alt 'C m m m'
_space_group_IT_number 65
_space_group_name_Hall '-C 2 2'
_cell_length_a 5.427
_cell_length_b 10.097
_cell_length_c 2.753
_cell_angle_alpha 90.00
_cell_angle_beta 90.00
_cell_angle_gamma 90.00
loop_
_atom_site_label
_atom_site_fract_x
_atom_site_fract_y
_atom_site_fract_z
_atom_site_occupancy
La1 0.000 0.000 0.000 1
Mn1 0.000 0.500 0.000 1
W1 0.250 0.250 0.500 1
# Energy of formation from the pure elements: 0.92 eV/atom
# Volume: 151 Å³/cell

---

Record 3
# GGA-PBE LiAc4Cd3, optimized geometry
data_LiAc4Cd3
_space_group_name_H-M_alt 'R -3 m'
_space_group_IT_number 166
_space_group_name_Hall '-R 3 2"'
_cell_length_a 5.7586
_cell_length_b 5.7586
_cell_length_c 28.1862
_cell_angle_alpha 90.00
_cell_angle_beta 90.00
_cell_angle_gamma 120.00
loop_
_atom_site_label
_atom_site_fract_x
_atom_site_fract_y
_atom_site_fract_z
_atom_site_occupancy
Li1 0.0000 0.0000 0.0000 1
Ac1 0.0000 0.0000 0.1251 1
Ac2 0.0000 0.0000 0.3755 1
Cd1 0.0000 0.0000 0.2521 1
Cd2 0.0000 0.0000 0.5000 1
# Energy of formation from the pure elements: -0.22 eV/atom
# Volume: 809 Å³/cell

---

Q: What is the volume in the second record?
A: 151 Å³/cell

---

Q: What is the volume in the first record?
A: 1234 Å³/cell

---

Repeat the first record exactly.
# GGA-PBE Li3CeTe3, optimized geometry
data_Li3CeTe3
_space_group_name_H-M_alt 'R -3'
_space_group_IT_number 148
_space_group_name_Hall '-R 3'
_cell_length_a 8.0121
_cell_length_b 8.0121
_cell_length_c 22.1981
_cell_angle_alpha 90.00
_cell_angle_beta 90.00
_cell_angle_gamma 120.00
loop_
_atom_site_label
_atom_site_fract_x
_atom_site_fract_y
_atom_site_fract_z
_atom_site_occupancy
Li1 0.0054 0.6875 0.1221 1
Ce1 0.0000 0.0000 0.3340 1
Te1 0.0029 0.6504 0.9166 1
# Formation energy from raw total energies: -768 kJ/mol of formula units
# Volume: 1234 Å³/cell

---

Q: Which formula does entry 3 have?
A: LiAc4Cd3